1.
First-principles (PBE) data for crystalline Tl2FeCl at its relaxed geometry, as listed in Alexandria via LeMat-Bulk.

abc: 3.1339 4.0059 15.7538
angles: 90.00 90.00 90.00
With the nearest neighbours (Å) after each atom.
Space group Immm (No. 71)
One atom of each set of equivalent atoms:
Tl (0.0000, 0.0000, 0.1733)  6 Tl 3.13-3.51, 2 Fe 3.15, 2 Cl 3.39
Fe (0.0000, 0.5000, 0.5000)  4 Cl 2.54
Cl (0.0000, 0.5000, 0.0000)  4 Fe 2.54

Results
E   -28.59 eV/cell
DOS at the Fermi energy   8.0 states/eV/cell


2.
First-principles (PBE) data for crystalline Tl3FeCl6 at its relaxed geometry, as listed in Alexandria via LeMat-Bulk.

abc: 11.6614 11.6614 14.6263
angles: 90.00 90.00 120.00
With the nearest neighbours (Å) after each atom.
Space group R-3 (No. 148, hexagonal axes)
One atom of each set of equivalent atoms:
Tl (0.0692, 0.4782, 0.3913)  5 Cl 3.04-3.36
Fe (0.0000, 0.0000, 0.0000)  6 Cl 2.29
Fe (0.0000, 0.0000, 0.5000)  6 Cl 2.30
Cl (0.0618, 0.1831, 0.4090)  1 Fe 2.30
Cl (0.0880, 0.9035, 0.0911)  1 Fe 2.29

Results
E   -209.46 eV/cell
DOS at the Fermi energy   57.5 states/eV/cell


3.
First-principles (PBE) data for crystalline Tl2FeCl at its relaxed geometry, as listed in Alexandria via LeMat-Bulk.

abc: 3.3861 3.3861 29.8846
angles: 90.00 90.00 120.00
With the nearest neighbours (Å) after each atom.
Space group R3m (No. 160, hexagonal axes)
One atom of each set of equivalent atoms:
Tl (0.0000, 0.0000, 0.0000)  3 Fe 2.93
Tl (0.0000, 0.0000, 0.2394)  9 Tl 3.39-3.42
Fe (0.0000, 0.0000, 0.7396)  3 Cl 2.41
Cl (0.0000, 0.0000, 0.4533)  3 Fe 2.41

Results
E   -45.26 eV/cell
DOS at the Fermi energy   9.9 states/eV/cell


4.
First-principles (PBE) data for crystalline TlFe2Cl at its relaxed geometry, as listed in Alexandria via LeMat-Bulk.

abc: 6.2083 7.5498 3.0564
angles: 90.00 90.00 90.00
With the nearest neighbours (Å) after each atom.
Space group Cmmm (No. 65)
One atom of each set of equivalent atoms:
Tl (0.0000, 0.0000, 0.0000)  8 Fe 2.88, 2 Tl 3.06, 2 Cl 3.10
Fe (0.2500, 0.2500, 0.5000)  4 Tl 2.88, 4 Cl 2.88, 4 Fe 3.06-3.10
Cl (0.0000, 0.5000, 0.0000)  8 Fe 2.88, 2 Cl 3.06, 2 Tl 3.10

Results
E   -36.96 eV/cell
DOS at the Fermi energy   7.3 states/eV/cell


5.
First-principles (PBE) data for crystalline TlFe2Cl at its relaxed geometry, as listed in Alexandria via LeMat-Bulk.

abc: 2.9671 5.7455 8.5696
angles: 90.00 90.00 90.00
With the nearest neighbours (Å) after each atom.
Space group Cmmm (No. 65)
One atom of each set of equivalent atoms:
Tl (0.0000, 0.0000, 0.0000)  4 Fe 2.77, 2 Tl 2.97
Fe (0.0000, 0.5000, 0.2730)  2 Cl 2.45
Cl (0.0000, 0.0000, 0.5000)  4 Fe 2.45

Results
E   -38.27 eV/cell
DOS at the Fermi energy   4.2 states/eV/cell


6.
First-principles (PBE) data for crystalline TlFeCl at its relaxed geometry, as listed in Alexandria via LeMat-Bulk.

abc: 6.6018 6.6018 6.6018
angles: 90.00 90.00 90.00
With the nearest neighbours (Å) after each atom.
Space group F-43m (No. 216)
One atom of each set of equivalent atoms:
Tl (0.0000, 0.0000, 0.0000)  4 Fe 2.86
Fe (0.2500, 0.2500, 0.7500)  4 Tl 2.86, 4 Cl 2.86
Cl (0.0000, 0.0000, 0.5000)  4 Fe 2.86

Results
E   -45.18 eV/cell
DOS at the Fermi energy   13.8 states/eV/cell


7.
First-principles (PBE) data for crystalline Tl2FeCl at its relaxed geometry, as listed in Alexandria via LeMat-Bulk.

abc: 3.1813 3.1813 9.5554
angles: 90.00 90.00 90.00
With the nearest neighbours (Å) after each atom.
Space group P4mm (No. 99)
One atom of each set of equivalent atoms:
Tl (0.0000, 0.0000, 0.0000)  4 Fe 3.10, 4 Tl 3.18, 1 Cl 3.42
Tl (0.5000, 0.5000, 0.2949)  4 Tl 3.18
Fe (0.5000, 0.5000, 0.7773)  4 Cl 2.60
Cl (0.0000, 0.0000, 0.6416)  4 Fe 2.60

Results
E   -14.78 eV/cell
DOS at the Fermi energy   2.6 states/eV/cell


8.
First-principles (PBE) data for crystalline TlFeCl2 at its relaxed geometry, as listed in Alexandria via LeMat-Bulk.

abc: 3.4021 6.1985 9.8013
angles: 90.00 90.00 90.00
With the nearest neighbours (Å) after each atom.
Space group Immm (No. 71)
One atom of each set of equivalent atoms:
Tl (0.0000, 0.0000, 0.0000)  2 Tl 3.40, 8 Cl 3.51-3.66, 4 Fe 3.54
Fe (0.0000, 0.0000, 0.5000)  4 Cl 2.38
Cl (0.0000, 0.5000, 0.1691)  2 Fe 2.38

Results
E   -32.57 eV/cell
DOS at the Fermi energy   5.5 states/eV/cell


So what do the calculations give for energy above the most stable polymorph in this dataset? Going down the list: 76; 121; 0; 201; 137; 124; 30; 0 kJ/mol of formula units.